Here is a geometry-optimized Li7PtPb4 structure from Alexandria via LeMat-Bulk. Energies are from PBE-GGA.

Structure (POSCAR):
```
Li7PtPb4
1.0
4.9299 0.0000 0.0000
2.4649 7.3705 1.3024
2.4649 1.1975 7.0532
Li Pt Pb
7 1 4
direct
0.5000 0.0000 0.0000
0.9431 0.3414 0.7725
0.8232 0.0130 0.3405
0.1768 0.9870 0.6595
0.3029 0.5328 0.8614
0.6971 0.4672 0.1386
0.0569 0.6586 0.2275
0.0000 0.0000 0.0000
0.5802 0.2597 0.5799
0.4198 0.7403 0.4201
0.2482 0.2484 0.2553
0.7518 0.7516 0.7447
```

Values from the calculation:
Its formation energy from the elements is -2.6 eV per formula unit. For the mass density, the calculation gives 7.16 g cm⁻³. For the density of states at the Fermi level, the calculation gives 4.13 states/eV per cell. For the total magnetization, the calculation gives 0.00 μB/cell.